The following is a DFT calculation (meta-GGA SCAN) of a PBEsol-optimized structure of Li3NbS4.

Values from the calculation:
raw total energy: -710.982 eV/cell
crystal system: orthorhombic
total magnetic moment: 0.00 μB per atom

Cell lengths 9.9314, 12.2628, 11.2406 Å; angles 90.00, 90.00, 90.00 degrees
Fractional positions:
Li  0.0073  0.1010  0.1124
Li  0.0073  0.3990  0.6124
Li  0.1422  0.1143  0.4222
Li  0.1422  0.3857  0.9222
Li  0.1683  0.6329  0.8374
Li  0.1683  0.8671  0.3374
Li  0.3317  0.1329  0.8374
Li  0.3317  0.3671  0.3374
Li  0.3578  0.6143  0.4222
Li  0.3578  0.8857  0.9222
Li  0.4927  0.6010  0.1124
Li  0.4927  0.8990  0.6124
Li  0.5073  0.1010  0.3876
Li  0.5073  0.3990  0.8876
Li  0.6422  0.1143  0.0778
Li  0.6422  0.3857  0.5778
Li  0.6683  0.6329  0.6626
Li  0.6683  0.8671  0.1626
Li  0.8317  0.1329  0.6626
Li  0.8317  0.3671  0.1626
Li  0.8578  0.6143  0.0778
Li  0.8578  0.8857  0.5778
Li  0.9927  0.6010  0.3876
Li  0.9927  0.8990  0.8876
Nb  0.1649  0.6168  0.1119
Nb  0.1649  0.8832  0.6119
Nb  0.3351  0.1168  0.1119
Nb  0.3351  0.3832  0.6119
Nb  0.6649  0.6168  0.3881
Nb  0.6649  0.8832  0.8881
Nb  0.8351  0.1168  0.3881
Nb  0.8351  0.3832  0.8881
S  0.0202  0.0012  0.7012
S  0.0202  0.4988  0.2012
S  0.0401  0.7296  0.9970
S  0.0401  0.7704  0.4970
S  0.1927  0.0242  0.9860
S  0.1927  0.4758  0.4860
S  0.2124  0.2153  0.2437
S  0.2124  0.2847  0.7437
S  0.2876  0.7153  0.2437
S  0.2876  0.7847  0.7437
S  0.3073  0.5242  0.9860
S  0.3073  0.9758  0.4860
S  0.4599  0.2296  0.9970
S  0.4599  0.2704  0.4970
S  0.4798  0.5012  0.7012
S  0.4798  0.9988  0.2012
S  0.5202  0.0012  0.7988
S  0.5202  0.4988  0.2988
S  0.5401  0.7296  0.5030
S  0.5401  0.7704  0.0031
S  0.6927  0.0242  0.5140
S  0.6927  0.4758  0.0140
S  0.7124  0.2153  0.2563
S  0.7124  0.2847  0.7563
S  0.7876  0.7153  0.2563
S  0.7876  0.7847  0.7563
S  0.8073  0.5242  0.5140
S  0.8073  0.9758  0.0140
S  0.9599  0.2296  0.5030
S  0.9599  0.2704  0.0031
S  0.9798  0.5012  0.7988
S  0.9798  0.9988  0.2988

***

The following is a DFT calculation (meta-GGA SCAN) of a PBEsol-optimized structure of Li3ScNb.

Values from the calculation:
raw total energy: -47.864 eV/cell
crystal system: cubic
total magnetic moment: 0.19 μB per atom
E_form: 1334.4 meV/atom

Cell lengths 4.4220, 4.4220, 4.4220 Å; angles 90.00, 90.00, 90.00 degrees
Fractional positions:
Li  0.0000  0.0000  0.5000
Li  0.0000  0.5000  0.0000
Li  0.5000  0.0000  0.0000
Sc  0.0000  0.0000  0.0000
Nb  0.5000  0.5000  0.5000

***

The following is a DFT calculation (meta-GGA SCAN) of a PBEsol-optimized structure of LiNbSe2.

Values from the calculation:
raw total energy: -160.900 eV/cell
crystal system: hexagonal
total magnetic moment: 0.00 μB per atom

Cell lengths 3.4871, 3.4871, 13.4795 Å; angles 90.00, 90.00, 120.00 degrees
Fractional positions:
Li  0.0000  0.0000  0.0000
Li  0.0000  0.0000  0.5000
Nb  0.0000  0.0000  0.2500
Nb  0.0000  0.0000  0.7500
Se  0.3333  0.6667  0.1269
Se  0.3333  0.6667  0.3731
Se  0.6667  0.3333  0.6269
Se  0.6667  0.3333  0.8731

***

The following is a DFT calculation (meta-GGA SCAN) of a PBEsol-optimized structure of LiNbZn2Se.

Values from the calculation:
raw total energy: -77.065 eV/cell
crystal system: tetragonal
total magnetic moment: 0.63 μB per atom

Cell lengths 4.9906, 4.9906, 5.1296 Å; angles 90.00, 90.00, 90.00 degrees
Fractional positions:
Li  0.0000  0.0000  0.0000
Nb  0.0000  0.0000  0.5000
Zn  0.0000  0.5000  0.5000
Zn  0.5000  0.0000  0.5000
Se  0.5000  0.5000  0.0000